## 1
CaScBeN2 | PBE-GGA | optimized geometry

**Crystal system**: monoclinic

a = 5.1005 Å, b = 4.8351 Å, c = 6.1278 Å
α = 90.00°, β = 90.04°, γ = 90.00°
Last column: nearest neighbours and their distance in Å.
Space group P2/c (No. 13)
One atom of each set of equivalent atoms:
Ca1 0.0000 0.0007 0.2500 [2 per cell]  4 N 2.50
Sc1 0.5000 0.5002 0.2500 [2 per cell]  4 N 2.19
Be1 0.5000 0.0000 0.0000 [2 per cell]  2 N 1.56
N1 0.3067 0.2489 0.9999 [4 per cell]  1 Be 1.56


## 2
CaScBeN2 | PBE-GGA | optimized geometry

**Crystal system**: tetragonal

a = 4.2930 Å, b = 4.2930 Å, c = 4.3696 Å
α = 90.00°, β = 90.00°, γ = 90.00°
Last column: nearest neighbours and their distance in Å.
Space group P4/mmm (No. 123)
One atom of each set of equivalent atoms:
Ca1 0.0000 0.0000 0.0000 [1 per cell]  4 N 2.15, 2 Be 2.18
Sc1 0.5000 0.5000 0.5000 [1 per cell]  4 Be 3.04, 8 N 3.06
Be1 0.0000 0.0000 0.5000 [1 per cell]  2 Ca 2.18
N1 0.0000 0.5000 0.0000 [2 per cell]  2 Ca 2.15


How do the structures above rank in stability at the extremes? 1 comes first and 2 comes last.